(1)
A plane-wave DFT calculation with PBE-GGA was carried out for a geometry-optimized EuZnPb2 structure.

Results
- Formation enthalpy at 0 K: -0.160 eV per atom
- SG: R-3m (166)
- Size of the total moment: 7.169 Bohr magnetons per cell
- Final energy: -19.61 eV/cell

Lattice parameters (Å, degrees): 4.893 4.893 6.226 66.86 66.86 60.00
Last column: magnetic moment on the atom in μB.
Element x y z (fractional)
Pb1 0.273 0.273 0.182  0.02
Pb2 0.727 0.727 0.818  0.02
Eu1 0.500 0.500 0.500  6.87
Zn1 0.000 0.000 0.000  0.00


(2)
A plane-wave DFT calculation with PBE-GGA was carried out for a geometry-optimized Ho4Tm3Ir4 structure.

Results
- Formation enthalpy at 0 K: -0.705 eV per atom
- SG: Immm (71)
- Size of the total moment: 0.000 Bohr magnetons per cell
- Final energy: -74.93 eV/cell

Lattice parameters (Å, degrees): 3.770 8.593 9.222 117.77 101.80 90.00
Element x y z (fractional)
Ho1 0.333 0.144 0.667
Ho2 0.667 0.477 0.333
Ho3 0.667 0.856 0.333
Ho4 0.333 0.523 0.667
Tm1 0.100 0.100 0.200
Tm2 0.900 0.900 0.800
Tm3 0.000 0.500 0.000
Ir1 0.251 0.751 0.503
Ir2 0.749 0.249 0.497
Ir3 0.500 0.788 0.000
Ir4 0.500 0.212 0.000


(3)
A plane-wave DFT calculation with PBE-GGA was carried out for a geometry-optimized Pr6MgNi structure.

Results
- Formation enthalpy at 0 K: 0.160 eV per atom
- SG: P-1 (2)
- Size of the total moment: 0.001 Bohr magnetons per cell
- Final energy: -34.78 eV/cell

Lattice parameters (Å, degrees): 6.917 6.963 7.731 63.65 63.91 60.03
Element x y z (fractional)
Pr1 0.020 0.422 0.748
Pr2 0.809 0.017 0.747
Pr3 0.577 0.190 0.252
Pr4 0.191 0.983 0.253
Pr5 0.980 0.578 0.252
Pr6 0.423 0.810 0.748
Mg1 0.500 0.500 0.500
Ni1 0.000 0.000 0.000


(4)
A plane-wave DFT calculation with PBE-GGA was carried out for a geometry-optimized CaLa3Ir structure.

Results
- Formation enthalpy at 0 K: 1.308 eV per atom
- SG: Pm-3m (221)
- Size of the total moment: 0.000 Bohr magnetons per cell
- Final energy: -19.11 eV/cell
- Polymorph energy (0 for the lowest one): 1.658 eV per atom

Lattice parameters (Å, degrees): 5.446 5.446 5.446 90.00 90.00 90.00
Element x y z (fractional)
Ca1 0.000 0.000 0.000
Ir1 0.500 0.500 0.500
La1 0.000 0.500 0.000
La2 0.000 0.000 0.500
La3 0.500 0.000 0.000


(5)
A plane-wave DFT calculation with PBE-GGA was carried out for a geometry-optimized SrGeH3 structure.

Results
- SG: P2_1/m (11)
- Size of the total moment: 0.000 Bohr magnetons per cell
- Final energy: -34.56 eV/cell
- Polymorph energy (0 for the lowest one): 0.000 eV per atom

Lattice parameters (Å, degrees): 4.353 4.966 6.489 90.00 109.86 90.00
Element x y z (fractional)
Sr1 0.863 0.750 0.721
Sr2 0.137 0.250 0.279
Ge1 0.612 0.750 0.151
Ge2 0.388 0.250 0.849
H1 0.685 0.999 0.366
H2 0.315 0.001 0.634
H3 0.315 0.499 0.634
H4 0.685 0.501 0.366
H5 0.227 0.750 0.147
H6 0.773 0.250 0.853


(6)
A plane-wave DFT calculation with PBE-GGA was carried out for a geometry-optimized RbNa2As2H2 structure.

Results
- SG: C2/m (12)
- Size of the total moment: 0.000 Bohr magnetons per cell
- Final energy: -20.87 eV/cell

Lattice parameters (Å, degrees): 5.834 4.235 9.395 79.02 90.00 133.53
Element x y z (fractional)
Rb1 0.000 0.000 0.000
Na1 0.750 0.499 0.379
Na2 0.250 0.501 0.621
As1 0.291 0.583 0.288
As2 0.709 0.417 0.712
H1 0.513 0.027 0.857
H2 0.487 0.973 0.143


(7)
A plane-wave DFT calculation with PBE-GGA was carried out for a geometry-optimized Ta2TiNbRe structure.

Results
- Formation enthalpy at 0 K: 1.627 eV per atom
- SG: P4/mmm (123)
- Size of the total moment: 0.000 Bohr magnetons per cell
- Final energy: -45.98 eV/cell

Lattice parameters (Å, degrees): 4.685 4.400 4.685 90.00 90.00 90.00
Element x y z (fractional)
Re1 0.500 0.500 0.500
Nb1 0.000 0.500 0.000
Ti1 0.000 0.000 0.000
Ta1 0.000 0.000 0.500
Ta2 0.500 0.000 0.000


(8)
A plane-wave DFT calculation with PBE-GGA was carried out for a geometry-optimized KV4Se8 structure.

Results
- SG: F-43m (216)
- Size of the total moment: 5.158 Bohr magnetons per cell
- Uncorrected formation energy: -574.7 meV per atom
- Final energy: -72.92 eV/cell
- Polymorph energy (0 for the lowest one): 0.154 eV per atom

Lattice parameters (Å, degrees): 7.593 7.593 7.593 60.00 60.00 60.00
Last column: magnetic moment on the atom in μB.
Element x y z (fractional)
K1 0.750 0.750 0.750  -0.03
V1 0.916 0.361 0.361  1.59
V2 0.361 0.916 0.361  1.59
V3 0.361 0.361 0.916  1.59
V4 0.361 0.361 0.361  1.59
Se1 0.619 0.127 0.127  -0.12
Se2 0.127 0.619 0.127  -0.12
Se3 0.127 0.127 0.619  -0.12
Se4 0.127 0.127 0.127  -0.12
Se5 0.200 0.600 0.600  -0.23
Se6 0.600 0.200 0.600  -0.23
Se7 0.600 0.600 0.200  -0.23
Se8 0.600 0.600 0.600  -0.23


(9)
A plane-wave DFT calculation with PBE-GGA was carried out for a geometry-optimized SrScTc3 structure.

Results
- Formation enthalpy at 0 K: 1.424 eV per atom
- SG: Pm-3m (221)
- Size of the total moment: 2.823 Bohr magnetons per cell
- Final energy: -31.99 eV/cell
- Polymorph energy (0 for the lowest one): 0.000 eV per atom

Lattice parameters (Å, degrees): 4.815 4.815 4.815 90.00 90.00 90.00
Last column: magnetic moment on the atom in μB.
Element x y z (fractional)
Sc1 0.000 0.000 0.000  -0.10
Sr1 0.500 0.500 0.500  0.01
Tc1 0.000 0.500 0.000  0.92
Tc2 0.000 0.000 0.500  0.85
Tc3 0.500 0.000 0.000  0.87


(10)
A plane-wave DFT calculation with PBE-GGA was carried out for a geometry-optimized CrHgIr structure.

Results
- Formation enthalpy at 0 K: 0.361 eV per atom
- SG: P3m1 (156)
- Size of the total moment: 0.043 Bohr magnetons per cell
- Final energy: -17.70 eV/cell
- Polymorph energy (0 for the lowest one): 0.124 eV per atom

Lattice parameters (Å, degrees): 2.806 2.806 6.963 90.00 90.00 120.00
Element x y z (fractional)
Cr1 0.000 0.000 0.977
Hg1 0.667 0.333 0.323
Ir1 0.333 0.667 0.700


(11)
A plane-wave DFT calculation with PBE-GGA was carried out for a geometry-optimized Sm7Y3Sc structure.

Results
- Formation enthalpy at 0 K: 0.058 eV per atom
- SG: Cc (9)
- Size of the total moment: 0.000 Bohr magnetons per cell
- Final energy: -116.24 eV/cell
- Polymorph energy (0 for the lowest one): 0.000 eV per atom

Lattice parameters (Å, degrees): 9.995 9.996 12.412 85.45 94.55 144.46
Element x y z (fractional)
Sm1 0.019 0.839 0.247
Sm2 0.161 0.981 0.747
Sm3 0.359 0.613 0.558
Sm4 0.792 0.168 0.941
Sm5 0.387 0.641 0.058
Sm6 0.832 0.208 0.441
Sm7 0.388 0.461 0.832
Sm8 0.539 0.612 0.332
Sm9 0.268 0.902 0.019
Sm10 0.546 0.278 0.391
Sm11 0.722 0.455 0.891
Sm12 0.098 0.732 0.519
Sm13 0.958 0.148 0.211
Sm14 0.852 0.042 0.711
Y1 0.222 0.670 0.790
Y2 0.921 0.922 0.983
Y3 0.078 0.079 0.483
Y4 0.330 0.778 0.290
Y5 0.643 0.208 0.666
Y6 0.792 0.357 0.166
Sc1 0.462 0.368 0.112
Sc2 0.632 0.538 0.612


(12)
A plane-wave DFT calculation with PBE-GGA was carried out for a geometry-optimized AcCe4P5 structure.

Results
- Formation enthalpy at 0 K: -1.456 eV per atom
- SG: Immm (71)
- Size of the total moment: 2.622 Bohr magnetons per cell
- Final energy: -69.45 eV/cell

Lattice parameters (Å, degrees): 4.159 5.914 11.038 105.54 100.86 90.00
Last column: magnetic moment on the atom in μB.
Element x y z (fractional)
Ac1 0.000 0.000 0.000  0.01
Ce1 0.399 0.399 0.797  0.60
Ce2 0.797 0.797 0.594  0.56
Ce3 0.203 0.203 0.406  0.56
Ce4 0.601 0.601 0.203  0.60
P1 0.609 0.109 0.217  -0.02
P2 0.801 0.301 0.602  -0.03
P3 0.199 0.699 0.398  -0.03
P4 0.000 0.500 0.000  -0.02
P5 0.391 0.891 0.783  -0.02


(13)
A plane-wave DFT calculation with PBE-GGA was carried out for a geometry-optimized TbGdHo4 structure.

Results
- Formation enthalpy at 0 K: 0.251 eV per atom
- SG: F-43m (216)
- Size of the total moment: 8.536 Bohr magnetons per cell
- Final energy: -35.51 eV/cell

Lattice parameters (Å, degrees): 6.558 6.558 6.558 60.00 60.00 60.00
Last column: magnetic moment on the atom in μB.
Element x y z (fractional)
Gd1 0.250 0.250 0.250  7.42
Tb1 0.000 0.000 0.000  -0.01
Ho1 0.625 0.625 0.124  0.07
Ho2 0.625 0.124 0.625  0.07
Ho3 0.625 0.625 0.625  0.07
Ho4 0.124 0.625 0.625  0.07


(14)
A plane-wave DFT calculation with PBE-GGA was carried out for a geometry-optimized HfTiBi2 structure.

Results
- Formation enthalpy at 0 K: 0.040 eV per atom
- SG: P4/mmm (123)
- Size of the total moment: 0.005 Bohr magnetons per cell
- Final energy: -25.45 eV/cell
- Polymorph energy (0 for the lowest one): 0.021 eV per atom

Lattice parameters (Å, degrees): 3.521 3.521 7.432 90.00 90.00 90.00
Element x y z (fractional)
Hf1 0.500 0.500 0.500
Bi1 0.000 0.000 0.763
Bi2 0.000 0.000 0.237
Ti1 0.500 0.500 0.000


(15)
A plane-wave DFT calculation with PBE-GGA was carried out for a geometry-optimized Sm3Dy7Ho structure.

Results
- Formation enthalpy at 0 K: 0.270 eV per atom
- SG: Immm (71)
- Size of the total moment: 0.321 Bohr magnetons per cell
- Final energy: -47.99 eV/cell
- Polymorph energy (0 for the lowest one): 0.090 eV per atom

Lattice parameters (Å, degrees): 8.422 8.422 5.831 69.73 69.73 83.43
Last column: magnetic moment on the atom in μB.
Element x y z (fractional)
Sm1 0.789 0.211 0.000  0.00
Sm2 0.000 0.000 0.500  0.00
Sm3 0.211 0.789 0.000  0.00
Dy1 0.794 0.794 0.207  0.01
Dy2 0.402 0.005 0.296  0.01
Dy3 0.995 0.598 0.704  0.01
Dy4 0.005 0.402 0.296  0.01
Dy5 0.500 0.500 0.000  0.13
Dy6 0.598 0.995 0.704  0.01
Dy7 0.206 0.206 0.793  0.01
Ho1 0.500 0.500 0.500  0.14


(16)
A plane-wave DFT calculation with PBE-GGA was carried out for a geometry-optimized K2Ac2SnO6 structure.

Results
- SG: C2/m (12)
- Size of the total moment: 0.000 Bohr magnetons per cell
- Uncorrected formation energy: -2282.7 meV per atom
- Final energy: -69.27 eV/cell

Lattice parameters (Å, degrees): 6.313 6.313 6.685 96.95 96.95 119.11
Element x y z (fractional)
K1 0.851 0.149 0.000
K2 0.149 0.851 0.000
Ac1 0.336 0.664 0.500
Ac2 0.664 0.336 0.500
Sn1 0.000 0.000 0.500
O1 0.772 0.772 0.683
O2 0.038 0.339 0.672
O3 0.228 0.228 0.317
O4 0.339 0.038 0.672
O5 0.962 0.661 0.328
O6 0.661 0.962 0.328


(17)
A plane-wave DFT calculation with PBE-GGA was carried out for a geometry-optimized PmCd12 structure.

Results
- Formation enthalpy at 0 K: -0.110 eV per atom
- SG: I4/mmm (139)
- Size of the total moment: 0.000 Bohr magnetons per cell
- Final energy: -17.16 eV/cell

Lattice parameters (Å, degrees): 6.007 7.653 7.653 81.14 66.90 66.90
Element x y z (fractional)
Pm1 0.000 0.000 0.000
Cd1 0.500 0.000 0.500
Cd2 0.000 0.000 0.500
Cd3 0.500 0.500 0.000
Cd4 0.000 0.500 0.000
Cd5 0.000 0.649 0.351
Cd6 0.000 0.351 0.649
Cd7 0.649 0.351 0.351
Cd8 0.351 0.649 0.649
Cd9 0.500 0.213 0.787
Cd10 0.500 0.787 0.213
Cd11 0.713 0.787 0.787
Cd12 0.287 0.213 0.213


(18)
A plane-wave DFT calculation with PBE-GGA was carried out for a geometry-optimized LaMoAs2 structure.

Results
- Formation enthalpy at 0 K: -0.504 eV per atom
- SG: P4/mmm (123)
- Size of the total moment: 0.000 Bohr magnetons per cell
- Final energy: -27.07 eV/cell
- Polymorph energy (0 for the lowest one): 0.142 eV per atom

Lattice parameters (Å, degrees): 3.305 3.305 7.210 90.00 90.00 90.01
Element x y z (fractional)
Mo1 0.500 0.500 0.750
As1 0.000 0.000 0.950
As2 0.000 0.000 0.550
La1 0.500 0.500 0.250


(19)
A plane-wave DFT calculation with PBE-GGA was carried out for a geometry-optimized AcCoP structure.

Results
- Formation enthalpy at 0 K: -0.852 eV per atom
- SG: P-6m2 (187)
- Size of the total moment: 0.267 Bohr magnetons per cell
- Final energy: -19.18 eV/cell
- Polymorph energy (0 for the lowest one): 0.022 eV per atom

Lattice parameters (Å, degrees): 4.439 4.008 4.008 120.00 90.00 90.00
Last column: magnetic moment on the atom in μB.
Element x y z (fractional)
P1 0.167 0.000 0.000  0.01
Ac1 0.667 0.667 0.333  -0.02
Co1 0.167 0.333 0.667  0.30


(20)
A plane-wave DFT calculation with PBE-GGA was carried out for a geometry-optimized Hg5As structure.

Results
- Formation enthalpy at 0 K: 0.143 eV per atom
- SG: Cmmm (65)
- Size of the total moment: 0.000 Bohr magnetons per cell
- Final energy: -5.30 eV/cell
- Polymorph energy (0 for the lowest one): 0.011 eV per atom

Lattice parameters (Å, degrees): 4.292 3.649 10.890 99.64 90.00 90.00
Element x y z (fractional)
As1 0.000 0.000 0.000
Hg1 0.500 0.810 0.619
Hg2 0.000 0.625 0.251
Hg3 0.500 0.500 0.000
Hg4 0.000 0.375 0.749
Hg5 0.500 0.190 0.381


(21)
A plane-wave DFT calculation with PBE-GGA was carried out for a geometry-optimized LaIn2Os structure.

Results
- Formation enthalpy at 0 K: 0.021 eV per atom
- SG: C2/m (12)
- Size of the total moment: 0.000 Bohr magnetons per cell
- Final energy: -21.55 eV/cell

Lattice parameters (Å, degrees): 4.593 4.593 6.047 67.34 67.34 60.40
Element x y z (fractional)
In1 0.966 0.966 0.102
In2 0.534 0.534 0.398
La1 0.750 0.750 0.750
Os1 0.250 0.250 0.250


(22)
A plane-wave DFT calculation with PBE-GGA was carried out for a geometry-optimized Hf2AlHg structure.

Results
- Formation enthalpy at 0 K: 0.236 eV per atom
- SG: I-42d (122)
- Size of the total moment: 0.000 Bohr magnetons per cell
- Final energy: -46.02 eV/cell
- Polymorph energy (0 for the lowest one): 0.437 eV per atom

Lattice parameters (Å, degrees): 7.740 7.740 6.192 51.32 51.32 90.00
Element x y z (fractional)
Hf1 0.624 0.125 0.250
Hf2 0.126 0.625 0.250
Hf3 0.375 0.376 0.750
Hf4 0.875 0.874 0.750
Hg1 0.000 0.000 0.000
Hg2 0.750 0.250 0.500
Al1 0.500 0.500 0.000
Al2 0.250 0.750 0.500


(23)
A plane-wave DFT calculation with PBE-GGA was carried out for a geometry-optimized Ac3La4Hg structure.

Results
- Formation enthalpy at 0 K: -0.118 eV per atom
- SG: P4/mmm (123)
- Size of the total moment: 0.000 Bohr magnetons per cell
- Final energy: -33.28 eV/cell

Lattice parameters (Å, degrees): 3.882 3.882 20.049 90.00 90.00 90.00
Element x y z (fractional)
Ac1 0.500 0.500 0.231
Ac2 0.500 0.500 0.500
Ac3 0.500 0.500 0.769
Hg1 0.500 0.500 0.000
La1 0.000 0.000 0.901
La2 0.000 0.000 0.099
La3 0.000 0.000 0.365
La4 0.000 0.000 0.635


(24)
A plane-wave DFT calculation with PBE-GGA was carried out for a geometry-optimized TaCrRe2 structure.

Results
- Formation enthalpy at 0 K: -0.013 eV per atom
- SG: P2/m (10)
- Size of the total moment: 0.000 Bohr magnetons per cell
- Final energy: -46.42 eV/cell

Lattice parameters (Å, degrees): 4.356 2.720 5.155 80.16 90.00 90.00
Element x y z (fractional)
Cr1 0.500 0.750 0.750
Re1 0.000 0.998 0.989
Re2 0.000 0.502 0.511
Ta1 0.500 0.250 0.250


(25)
A plane-wave DFT calculation with PBE-GGA was carried out for a geometry-optimized FeRe2Cl structure.

Results
- SG: P4mm (99)
- Size of the total moment: 3.142 Bohr magnetons per cell
- Uncorrected formation energy: 452.4 meV per atom
- Final energy: -33.40 eV/cell
- Polymorph energy (0 for the lowest one): 0.149 eV per atom

Lattice parameters (Å, degrees): 2.930 2.930 7.127 90.00 90.00 90.00
Last column: magnetic moment on the atom in μB.
Element x y z (fractional)
Re1 0.000 0.000 0.010  0.08
Re2 0.500 0.500 0.225  0.08
Fe1 0.500 0.500 0.747  2.92
Cl1 0.000 0.000 0.518  0.08